## CeNpMnTc (PBE-GGA)

Data for an optimized crystal structure of CeNpMnTc.

The structure in extended XYZ format:
```
4
Lattice="0.000 3.265 3.265 3.265 0.000 3.265 3.265 3.265 0.000" Properties=species:S:1:pos:R:3 pbc="T T T"
Ce 0.000 0.000 0.000
Np 4.898 4.898 4.898
Mn 3.265 3.265 3.265
Tc 1.633 1.633 1.633
```

E_form = 1.2 eV per formula unit
space-group type = F-43m (216)